[1]
Rb2AcPuO6 | GGA-PBE | optimized geometry

total magnetization	1.00	μB/f.u.
theoretical density	6670	kg/m3
symmetry	Fm-3m, No. 225
V	184	Å³/cell
formation energy (no corrections)	-2.5123	eV/atom

Cell lengths 6.3810, 6.3810, 6.3810 Å; angles 60.00, 60.00, 60.00 degrees
With the nearest neighbours (Å) after each atom.
Sites, in units of the cell vectors:
Rb: 0.2500 0.2500 0.2500  12 O 3.20
Rb: 0.7500 0.7500 0.7500  12 O 3.20
Ac: 0.0000 0.0000 0.0000  6 O 2.48
Pu: 0.5000 0.5000 0.5000  6 O 2.03
O: 0.2751 0.2751 0.7249  1 Pu 2.03
O: 0.2751 0.7249 0.2751  1 Pu 2.03
O: 0.2751 0.7249 0.7249  1 Pu 2.03
O: 0.7249 0.2751 0.2751  1 Pu 2.03
O: 0.7249 0.2751 0.7249  1 Pu 2.03
O: 0.7249 0.7249 0.2751  1 Pu 2.03

=====

[2]
RbAc2PuO6 | GGA-PBE | optimized geometry

total magnetization	3.00	μB/f.u.
theoretical density	7473	kg/m3
DOS(E_F)	10.6	states/eV/f.u.
symmetry	R3, No. 146
V	195	Å³/cell
formation energy (no corrections)	-2.8783	eV/atom

Cell lengths 6.6585, 6.6585, 6.6585 Å; angles 57.23, 57.23, 57.23 degrees
With the nearest neighbours (Å) after each atom.
Sites, in units of the cell vectors:
Rb: 0.0000 0.0000 0.0000  3 O 2.75
Ac: 0.2557 0.2557 0.2557  6 O 2.50-2.61
Ac: 0.7719 0.7719 0.7719  6 O 2.45-2.60
Pu: 0.4637 0.4637 0.4637  6 O 2.14-2.20
O: 0.1056 0.6040 0.4272  1 Pu 2.14
O: 0.2138 0.5338 0.8259  1 Pu 2.20
O: 0.4272 0.1056 0.6040  1 Pu 2.14
O: 0.5338 0.8259 0.2138  1 Pu 2.20
O: 0.6040 0.4272 0.1056  1 Pu 2.14
O: 0.8259 0.2138 0.5338  1 Pu 2.20

=====

[3]
Rb2AcPuO4 | GGA-PBE | optimized geometry

total magnetization	5.00	μB/f.u.
theoretical density	7254	kg/m3
DOS(E_F)	6.1	states/eV/f.u.
symmetry	P2/m, No. 10
V	162	Å³/cell
formation energy (no corrections)	-2.3906	eV/atom

Cell lengths 6.5170, 3.7474, 6.9659 Å; angles 90.00, 108.21, 90.00 degrees
With the nearest neighbours (Å) after each atom.
Sites, in units of the cell vectors:
Rb: 0.0000 0.0000 0.0000  6 O 3.08-3.10
Rb: 0.5000 0.5000 0.0000  6 O 2.98
Ac: 0.0000 0.5000 0.5000  6 O 2.53-2.55
Pu: 0.5000 0.0000 0.5000  6 O 2.40-2.42
O: 0.2436 0.0000 0.6829  1 Pu 2.40, 2 Ac 2.53
O: 0.2894 0.5000 0.3232  2 Pu 2.42, 1 Ac 2.55
O: 0.7106 0.5000 0.6768  2 Pu 2.42, 1 Ac 2.55
O: 0.7564 0.0000 0.3171  1 Pu 2.40, 2 Ac 2.53

=====

[4]
Rb3Ac3PuO8 | GGA-PBE | optimized geometry

total magnetization	4.00	μB/f.u.
theoretical density	6512	kg/m3
DOS(E_F)	5.4	states/eV/f.u.
symmetry	R-3m, No. 166
V	334	Å³/cell
formation energy (no corrections)	-2.6340	eV/atom

Cell lengths 7.9853, 7.9853, 7.9853 Å; angles 56.85, 56.85, 56.85 degrees
With the nearest neighbours (Å) after each atom.
Sites, in units of the cell vectors:
Rb: 0.0000 0.5000 0.5000  6 O 3.05
Rb: 0.5000 0.0000 0.5000  6 O 3.05
Rb: 0.5000 0.5000 0.0000  6 O 3.05
Ac: 0.0000 0.0000 0.5000  6 O 2.51-2.56
Ac: 0.0000 0.5000 0.0000  6 O 2.51-2.56
Ac: 0.5000 0.0000 0.0000  6 O 2.51-2.56
Pu: 0.5000 0.5000 0.5000  6 O 2.28
O: 0.2275 0.2275 0.2275  3 Ac 2.51
O: 0.2548 0.7065 0.7065  1 Pu 2.28
O: 0.2935 0.2935 0.7452  1 Pu 2.28
O: 0.2935 0.7452 0.2935  1 Pu 2.28
O: 0.7065 0.2548 0.7065  1 Pu 2.28
O: 0.7065 0.7065 0.2548  1 Pu 2.28
O: 0.7452 0.2935 0.2935  1 Pu 2.28
O: 0.7725 0.7725 0.7725  3 Ac 2.51

=====

[5]
Rb3AcPu2O9 | GGA-PBE | optimized geometry

total magnetization	4.00	μB/f.u.
theoretical density	7040	kg/m3
DOS(E_F)	8.9	states/eV/f.u.
symmetry	P-3m1, No. 164
V	263	Å³/cell
formation energy (no corrections)	-2.5026	eV/atom

Cell lengths 6.2687, 6.2687, 7.7308 Å; angles 90.00, 90.00, 120.00 degrees
With the nearest neighbours (Å) after each atom.
Sites, in units of the cell vectors:
Rb: 0.0000 0.0000 0.0000  12 O 3.09-3.13
Rb: 0.3333 0.6667 0.6680  12 O 3.14-3.23
Rb: 0.6667 0.3333 0.3320  12 O 3.14-3.23
Ac: 0.0000 0.0000 0.5000  6 O 2.47
Pu: 0.3333 0.6667 0.1542  6 O 2.03-2.17
Pu: 0.6667 0.3333 0.8458  6 O 2.03-2.17
O: 0.0000 0.5000 0.0000  2 Pu 2.17
O: 0.1820 0.3640 0.3078  1 Pu 2.03
O: 0.1820 0.8180 0.3078  1 Pu 2.03
O: 0.3640 0.1820 0.6922  1 Pu 2.03
O: 0.5000 0.0000 0.0000  2 Pu 2.17
O: 0.5000 0.5000 0.0000  2 Pu 2.17
O: 0.6360 0.8180 0.3078  1 Pu 2.03
O: 0.8180 0.1820 0.6922  1 Pu 2.03
O: 0.8180 0.6360 0.6922  1 Pu 2.03

=====

[6]
RbAcPuO6 | GGA-PBE | optimized geometry

total magnetization	0.00	μB/f.u.
theoretical density	5530	kg/m3
symmetry	P312, No. 149
V	196	Å³/cell
formation energy (no corrections)	-2.3946	eV/atom

Cell lengths 6.2705, 6.2705, 5.7531 Å; angles 90.00, 90.00, 120.00 degrees
With the nearest neighbours (Å) after each atom.
Sites, in units of the cell vectors:
Rb: 0.0000 0.0000 0.0000  6 O 3.03
Ac: 0.3333 0.6667 0.5000  6 O 2.49
Pu: 0.6667 0.3333 0.5000  6 O 1.98
O: 0.4146 0.0571 0.6882  1 Pu 1.98
O: 0.4146 0.3575 0.3118  1 Pu 1.98
O: 0.6425 0.0571 0.3118  1 Pu 1.98
O: 0.6425 0.5854 0.6882  1 Pu 1.98
O: 0.9429 0.3575 0.6882  1 Pu 1.98
O: 0.9429 0.5854 0.3118  1 Pu 1.98

=====

- Which value of theoretical density does entry 5 give?
  7040 kg/m3

=====

- What is the V in the third record?
  162 Å³/cell

=====

- Which value of total magnetization does entry 1 give?
  1.00 μB/f.u.